# 1
# La2TmGe4Pt3

A relaxed structure of La2TmGe4Pt3 (PBE, Alexandria).

a = 4.351 Å, b = 4.351 Å, c = 11.206 Å
α = 90.00°, β = 90.00°, γ = 90.00°
Positions (direct):
La 0.500 0.000 0.232
La 0.000 0.500 0.768
Tm 0.500 0.500 0.500
Ge 0.500 0.500 0.000
Ge 0.000 0.000 0.000
Ge 0.500 0.000 0.659
Ge 0.000 0.500 0.341
Pt 0.000 0.000 0.500
Pt 0.500 0.000 0.883
Pt 0.000 0.500 0.117

**ΔE_f**: -0.974 eV/atom
**Total magnetization**: 0.0 μB per formula unit
**Total energy**: -6.0656 eV/atom

---

# 2
# LaTmGePt

A relaxed structure of LaTmGePt (PBE, Alexandria).

a = 5.113 Å, b = 5.113 Å, c = 5.113 Å
α = 60.00°, β = 60.00°, γ = 60.00°
Positions (direct):
Ge 0.250 0.250 0.250
Tm 0.000 0.000 0.000
Pt 0.750 0.750 0.750
La 0.500 0.500 0.500

**ΔE_f**: -0.887 eV/atom
**Total magnetization**: 0.0 μB per formula unit
**Total energy**: -5.9009 eV/atom

---

# 3
# La2UGe3Pt4

A relaxed structure of La2UGe3Pt4 (PBE, Alexandria).

a = 4.382 Å, b = 4.382 Å, c = 11.074 Å
α = 90.00°, β = 90.00°, γ = 90.00°
Each line ends with the local moment (μB).
Positions (direct):
La 0.500 0.000 0.228  0.04
La 0.000 0.500 0.772  0.04
U 0.500 0.500 0.500  2.11
Ge 0.000 0.000 0.500  -0.03
Ge 0.500 0.000 0.880  0.00
Ge 0.000 0.500 0.120  0.00
Pt 0.500 0.500 0.000  0.00
Pt 0.000 0.000 0.000  0.00
Pt 0.500 0.000 0.655  -0.03
Pt 0.000 0.500 0.345  -0.03

**ΔE_f**: -0.858 eV/atom
**Total magnetization**: 2.4 μB per formula unit
**Total energy**: -6.7740 eV/atom

---

# 4
# La2UGe4Pt3

A relaxed structure of La2UGe4Pt3 (PBE, Alexandria).

a = 4.362 Å, b = 4.362 Å, c = 11.355 Å
α = 90.00°, β = 90.00°, γ = 90.00°
Each line ends with the local moment (μB).
Positions (direct):
La 0.500 0.000 0.230  0.02
La 0.000 0.500 0.770  0.02
U 0.500 0.500 0.500  2.14
Ge 0.500 0.500 0.000  0.00
Ge 0.000 0.000 0.000  0.00
Ge 0.500 0.000 0.665  -0.02
Ge 0.000 0.500 0.335  -0.02
Pt 0.000 0.000 0.500  -0.06
Pt 0.500 0.000 0.886  0.00
Pt 0.000 0.500 0.114  0.00

**ΔE_f**: -0.770 eV/atom
**Total magnetization**: 2.3 μB per formula unit
**Total energy**: -6.5437 eV/atom

---

Repeat the first record exactly.
# La2TmGe4Pt3

A relaxed structure of La2TmGe4Pt3 (PBE, Alexandria).

a = 4.351 Å, b = 4.351 Å, c = 11.206 Å
α = 90.00°, β = 90.00°, γ = 90.00°
Positions (direct):
La 0.500 0.000 0.232
La 0.000 0.500 0.768
Tm 0.500 0.500 0.500
Ge 0.500 0.500 0.000
Ge 0.000 0.000 0.000
Ge 0.500 0.000 0.659
Ge 0.000 0.500 0.341
Pt 0.000 0.000 0.500
Pt 0.500 0.000 0.883
Pt 0.000 0.500 0.117

**ΔE_f**: -0.974 eV/atom
**Total magnetization**: 0.0 μB per formula unit
**Total energy**: -6.0656 eV/atom